1.
Computed, not measured: a crystal of Mo2IrOs relaxed with PBEsol at the meta-GGA SCAN level of DFT.

Lattice parameters (Å, degrees): 2.759 4.419 4.772 90.00 90.00 90.00
Atoms (fractional coordinates):
1 Mo 0.000 0.000 0.047
2 Mo 0.000 0.500 0.702
3 Ir 0.500 0.500 0.199
4 Os 0.500 0.000 0.551

Computed properties:
Distance to the lowest polymorph of the same formula = 10 meV per atom
Crystal system = orthorhombic
Total energy = -213.41 eV/f.u.
Theoretical density = 16.39 g/cm3
Magnetic moment = 0.00 Bohr magnetons per cell
Volume = 58.2 Å³/cell
Energy of formation = -0.17 eV/atom

---

2.
Computed, not measured: a crystal of BaTaIn2S relaxed with PBEsol at the meta-GGA SCAN level of DFT.

Lattice parameters (Å, degrees): 4.605 5.562 5.562 90.00 90.00 90.00
Atoms (fractional coordinates):
1 S 0.000 0.000 0.000
2 In 0.000 0.000 0.500
3 In 0.000 0.500 0.000
4 Ba 0.500 0.500 0.500
5 Ta 0.500 0.000 0.000

Computed properties:
Crystal system = tetragonal
Total energy = -181.34 eV/f.u.
Theoretical density = 6.76 g/cm3
Magnetic moment = 0.88 Bohr magnetons per cell
Volume = 142.5 Å³/cell

---

3.
Computed, not measured: a crystal of CdSiCl relaxed with PBEsol at the meta-GGA SCAN level of DFT.

Lattice parameters (Å, degrees): 3.315 4.278 6.017 110.83 105.99 90.00
Atoms (fractional coordinates):
1 Si 0.444 0.444 0.887
2 Cl 0.645 0.645 0.290
3 Cd 0.911 0.911 0.822

Computed properties:
Crystal system = orthorhombic
Total energy = -48.79 eV/f.u.
Theoretical density = 3.83 g/cm3
Magnetic moment = 0.00 Bohr magnetons per cell
Volume = 76.2 Å³/cell

---

4.
Computed, not measured: a crystal of Ca3SeF relaxed with PBEsol at the meta-GGA SCAN level of DFT.

Lattice parameters (Å, degrees): 4.910 4.910 4.910 90.00 90.00 90.00
Atoms (fractional coordinates):
1 Ca 0.000 0.500 0.000
2 Ca 0.000 0.000 0.500
3 Ca 0.500 0.000 0.000
4 Se 0.500 0.500 0.500
5 F 0.000 0.000 0.000

Computed properties:
Crystal system = cubic
Total energy = -59.16 eV/f.u.
Theoretical density = 3.06 g/cm3
Magnetic moment = 2.68 Bohr magnetons per cell
Volume = 118.4 Å³/cell

---

5.
Computed, not measured: a crystal of Hf2GaSi2 relaxed with PBEsol at the meta-GGA SCAN level of DFT.

Lattice parameters (Å, degrees): 3.403 3.403 7.972 102.32 102.32 90.00
Atoms (fractional coordinates):
1 Si 0.250 0.750 0.500
2 Si 0.750 0.250 0.500
3 Hf 0.391 0.391 0.782
4 Hf 0.609 0.609 0.218
5 Ga 0.000 0.000 0.000

Computed properties:
Crystal system = tetragonal
Total energy = -163.65 eV/f.u.
Theoretical density = 9.11 g/cm3
Magnetic moment = 0.00 Bohr magnetons per cell
Volume = 88.0 Å³/cell

---

6.
Computed, not measured: a crystal of Rb3RhS relaxed with PBEsol at the meta-GGA SCAN level of DFT.

Lattice parameters (Å, degrees): 5.436 5.436 5.436 90.00 90.00 90.00
Atoms (fractional coordinates):
1 S 0.500 0.500 0.500
2 Rh 0.000 0.000 0.000
3 Rb 0.000 0.500 0.000
4 Rb 0.000 0.000 0.500
5 Rb 0.500 0.000 0.000

Computed properties:
Crystal system = cubic
Total energy = -104.57 eV/f.u.
Theoretical density = 4.05 g/cm3
Magnetic moment = 0.00 Bohr magnetons per cell
Volume = 160.6 Å³/cell

---

7.
Computed, not measured: a crystal of ScCdSb2 relaxed with PBEsol at the meta-GGA SCAN level of DFT.

Lattice parameters (Å, degrees): 4.190 4.190 6.045 110.28 110.28 90.00
Atoms (fractional coordinates):
1 Cd 0.750 0.250 0.500
2 Sb 0.500 0.500 0.000
3 Sb 0.250 0.750 0.500
4 Sc 0.000 0.000 0.000

Computed properties:
Crystal system = tetragonal
Total energy = -120.60 eV/f.u.
Theoretical density = 7.20 g/cm3
Magnetic moment = 0.00 Bohr magnetons per cell
Volume = 92.5 Å³/cell

---

8.
Computed, not measured: a crystal of CrSCl2F relaxed with PBEsol at the meta-GGA SCAN level of DFT.

Lattice parameters (Å, degrees): 4.549 4.549 4.366 90.00 90.00 90.00
Atoms (fractional coordinates):
1 Cr 0.000 0.000 0.000
2 S 0.000 0.000 0.500
3 F 0.500 0.500 0.500
4 Cl 0.000 0.500 0.000
5 Cl 0.500 0.000 0.000

Computed properties:
Crystal system = tetragonal
Total energy = -49.86 eV/f.u.
Theoretical density = 3.20 g/cm3
Magnetic moment = 0.99 Bohr magnetons per cell
Volume = 90.3 Å³/cell